Entry from the Alexandria database: crystalline TlVTe2 at its relaxed geometry (PBE).

Properties
final energy: -4.674 eV/atom
space group: R3m

Unit cell a=3.5993 b=3.5993 c=9.8750 alpha=79.50 beta=79.50 gamma=60.00
Closest atoms and distances in Å follow each position.
Fractional positions:
Te1 0.0589 0.0589 0.8232  3 V 2.70
Te2 0.2735 0.2735 0.1795  3 V 2.70
V1 0.6662 0.6662 0.0015  6 Te 2.70
Tl1 0.5014 0.5014 0.4957  6 Tl 3.60, 6 Te 3.69-3.78


Entry from the Alexandria database: crystalline TaIr2Br at its relaxed geometry (PBE).

Properties
final energy: -7.116 eV/atom
space group: P4/mmm

Unit cell a=4.8620 b=4.8620 c=2.8753 alpha=90.00 beta=90.00 gamma=90.00
Closest atoms and distances in Å follow each position.
Fractional positions:
Br1 0.0000 0.5000 0.5000  8 Ir 2.82, 2 Br 2.88
Ir1 0.0000 0.0000 0.0000  4 Br 2.82, 4 Ta 2.82, 2 Ir 2.88
Ta1 0.5000 0.0000 0.5000  8 Ir 2.82, 2 Ta 2.88
Ir2 0.5000 0.5000 0.0000  4 Ta 2.82, 4 Br 2.82, 2 Ir 2.88


Entry from the Alexandria database: crystalline LiH3Pt at its relaxed geometry (PBE).

Properties
final energy: -3.581 eV/atom
space group: P4mm

Unit cell a=3.1392 b=3.1392 c=4.4083 alpha=90.00 beta=90.00 gamma=90.00
Closest atoms and distances in Å follow each position.
Fractional positions:
H1 0.0000 0.5000 0.4029  2 Pt 1.75, 2 Li 1.93
Li1 0.0000 0.0000 0.1469  5 H 1.83-1.93
H2 0.5000 0.0000 0.4029  2 Pt 1.75, 2 Li 1.93
Pt1 0.5000 0.5000 0.5796  4 H 1.75
H3 0.0000 0.0000 0.7315  1 Li 1.83


Entry from the Alexandria database: crystalline Sc4PS3 at its relaxed geometry (PBE).

Properties
final energy: -7.213 eV/atom
space group: Pm-3m

Unit cell a=5.2374 b=5.2374 c=5.2374 alpha=90.00 beta=90.00 gamma=90.00
Closest atoms and distances in Å follow each position.
Fractional positions:
S1 0.5000 0.0000 0.5000  6 Sc 2.62
Sc1 0.5000 0.5000 0.5000  6 S 2.62
S2 0.0000 0.5000 0.5000  6 Sc 2.62
Sc2 0.0000 0.0000 0.5000  4 S 2.62, 2 P 2.62
Sc3 0.5000 0.0000 0.0000  4 S 2.62, 2 P 2.62
Sc4 0.0000 0.5000 0.0000  4 S 2.62, 2 P 2.62
S3 0.5000 0.5000 0.0000  6 Sc 2.62
P1 0.0000 0.0000 0.0000  6 Sc 2.62


Entry from the Alexandria database: crystalline K2CuRh at its relaxed geometry (PBE).

Properties
formation enthalpy at 0 K: 0.710 eV/atom
space group: I-4m2

Unit cell a=5.0995 b=5.0995 c=5.0995 alpha=120.07 beta=120.07 gamma=89.88
Closest atoms and distances in Å follow each position.
Fractional positions:
K1 0.0000 0.0000 0.0000  4 K 3.12, 4 Cu 3.12
K2 0.2500 0.7500 0.5000  4 K 3.12, 4 Rh 3.12
Rh1 0.5000 0.5000 0.0000  4 Cu 3.12, 4 K 3.12
Cu1 0.7500 0.2500 0.5000  4 Rh 3.12, 4 K 3.12


Entry from the Alexandria database: crystalline Sr3HgP3 at its relaxed geometry (PBE).

Properties
formation enthalpy at 0 K: -0.747 eV/atom
space group: Cmce

Unit cell a=6.6230 b=10.1382 c=12.6687 alpha=90.00 beta=90.00 gamma=109.06
Closest atoms and distances in Å follow each position.
Fractional positions:
Sr1 0.3131 0.0000 0.1462  5 P 3.08-3.31, 2 Hg 3.26
Sr2 0.1869 0.0000 0.6462  5 P 3.08-3.31, 2 Hg 3.26
P1 0.2735 0.0000 0.3890  2 Hg 2.67
Sr3 0.3685 0.3530 0.3679  5 P 3.09-3.44, 1 Hg 3.12
Sr4 0.4845 0.3530 0.8679  5 P 3.09-3.44, 1 Hg 3.12
P2 0.2265 0.0000 0.8890  2 Hg 2.67
P3 0.5640 0.6743 0.3755  1 Hg 2.59
P4 0.0640 0.6743 0.1245  1 Hg 2.59
Hg1 0.9107 0.8215 0.0000  4 P 2.59-2.67
Hg2 0.0893 0.1785 0.0000  4 P 2.59-2.67
Sr5 0.8131 0.0000 0.3538  5 P 3.08-3.31, 2 Hg 3.26
Sr6 0.6869 0.0000 0.8538  5 P 3.08-3.31, 2 Hg 3.26
P5 0.4360 0.3257 0.6245  1 Hg 2.59
P6 0.3897 0.3257 0.1245  1 Hg 2.59
P7 0.8897 0.3257 0.3755  1 Hg 2.59
Sr7 0.9845 0.3530 0.6321  5 P 3.09-3.44, 1 Hg 3.12
P8 0.9360 0.3257 0.8755  1 Hg 2.59
Sr8 0.6315 0.6470 0.6321  5 P 3.09-3.44, 1 Hg 3.12
Sr9 0.0155 0.6470 0.3679  5 P 3.09-3.44, 1 Hg 3.12
P9 0.1103 0.6743 0.6245  1 Hg 2.59
P10 0.7735 0.0000 0.1110  2 Hg 2.67
Sr10 0.8685 0.3530 0.1321  5 P 3.09-3.44, 1 Hg 3.12
Sr11 0.1315 0.6470 0.8679  5 P 3.09-3.44, 1 Hg 3.12
Sr12 0.5155 0.6470 0.1321  5 P 3.09-3.44, 1 Hg 3.12
P11 0.7265 0.0000 0.6110  2 Hg 2.67
P12 0.6103 0.6743 0.8755  1 Hg 2.59
Hg3 0.4107 0.8215 0.5000  4 P 2.59-2.67
Hg4 0.5893 0.1785 0.5000  4 P 2.59-2.67